(1)
The following is a DFT calculation (PBE-GGA) of a relaxed Tm2CrOs3 crystal.

The structure in extended XYZ format:
```
12
Lattice="5.3651 0.0000 0.0000 -2.6825 4.6463 0.0000 0.0000 0.0000 8.3345" Properties=species:S:1:pos:R:3 pbc="T T T"
Tm 2.6825 1.5488 0.5374
Tm 0.0000 3.0975 7.7971
Tm 2.6825 1.5488 3.6299
Tm 0.0000 3.0975 4.7046
Os 2.6825 3.0680 6.2509
Os 1.3668 0.7891 6.2509
Os 0.0000 1.5782 2.0836
Os -1.3157 3.8572 2.0836
Os 3.9983 0.7891 6.2509
Os 1.3157 3.8572 2.0836
Cr 0.0000 0.0000 0.0000
Cr 0.0000 0.0000 4.1672
```

Output
formation enthalpy at 0 K	-0.298	eV per atom
calculated density	15.4	g/cm3

---

(2)
The following is a DFT calculation (PBE-GGA) of a relaxed CdInH2 crystal.

The structure in extended XYZ format:
```
8
Lattice="8.1854 -0.0110 0.8431 1.1026 2.7360 0.3598 1.8845 -1.5647 6.9155" Properties=species:S:1:pos:R:3 pbc="T T T"
Cd 5.0350 -0.7879 3.8793
Cd 1.4936 0.5856 3.6377
H 6.7488 -0.8981 6.3518
H 4.4238 2.0583 1.7667
H 3.9578 2.3836 1.2672
H 7.2147 -1.2234 6.8513
In 3.6236 1.0886 5.8786
In 7.5490 0.0716 2.2399
```

Output
calculated density	5.0	g/cm3
total DFT energy (no corrections)	-2.50	eV/atom

---

Q: calculated density of number 1 (Tm2CrOs3)?
A: 15.4 g/cm3